! NdMg2Pd PBE relaxed; values from VASP
&SYSTEM
  ibrav = 0, nat = 4, ntyp = 3
/
ATOMIC_SPECIES
Nd 144.24 Nd.upf
Mg 24.30 Mg.upf
Pd 106.42 Pd.upf
ATOMIC_POSITIONS angstrom
Nd 0.0000 0.0000 0.0000
Mg 2.1629 0.0000 2.2682
Mg 2.1629 2.2524 0.0989
Pd 0.0000 2.2524 2.3040
CELL_PARAMETERS angstrom
4.3258 0.0000 0.0000
0.0000 4.5047 0.0000
0.0000 0.0000 4.5116
! Spin magnetization in μB per formula unit: 0.00
! ρ in g/cm³: 5.653
! VASP energy in Ry per atom: -0.2541

=====

! Nd4Mg3Pd2 PBE relaxed; values from VASP
&SYSTEM
  ibrav = 0, nat = 9, ntyp = 3
/
ATOMIC_SPECIES
Nd 144.24 Nd.upf
Mg 24.30 Mg.upf
Pd 106.42 Pd.upf
ATOMIC_POSITIONS angstrom
Nd -0.0099 0.0000 1.7141
Nd 1.3212 0.0000 5.5661
Nd 3.9140 0.0000 2.5659
Nd 5.2450 0.0000 6.4178
Mg -1.2120 1.9321 4.0660
Mg 2.2758 1.9321 0.0854
Mg 2.9593 1.9321 8.0466
Pd 1.6092 1.9321 3.1025
Pd 3.6259 1.9321 5.0295
CELL_PARAMETERS angstrom
7.6591 0.0000 0.0000
0.0000 3.8643 0.0000
-2.4240 0.0000 8.1320
! Spin magnetization in μB per formula unit: 0.01
! ρ in g/cm³: 5.952
! VASP energy in Ry per atom: -0.3088

=====

! Nd3Mg3PdPt2 PBE relaxed; values from VASP
&SYSTEM
  ibrav = 0, nat = 9, ntyp = 4
/
ATOMIC_SPECIES
Nd 144.24 Nd.upf
Mg 24.30 Mg.upf
Pd 106.42 Pd.upf
Pt 195.08 Pt.upf
ATOMIC_POSITIONS angstrom
Nd -1.5809 2.7382 0.0000
Nd 3.1618 0.0000 0.0000
Nd 2.2272 3.8576 0.0000
Mg -2.8870 5.0004 2.0563
Mg 0.9211 1.5954 2.0563
Mg 5.7740 0.0000 2.0563
Pd 0.0000 0.0000 0.0000
Pt 0.0000 4.3972 2.0563
Pt 3.8081 2.1986 2.0563
CELL_PARAMETERS angstrom
7.6162 0.0000 0.0000
-3.8081 6.5958 0.0000
0.0000 0.0000 4.1125
! Spin magnetization in μB per formula unit: 0.01
! ρ in g/cm³: 8.056
! VASP energy in Ry per atom: -0.3564

=====

! Nd2Mg4PdPt PBE relaxed; values from VASP
&SYSTEM
  ibrav = 0, nat = 8, ntyp = 4
/
ATOMIC_SPECIES
Nd 144.24 Nd.upf
Mg 24.30 Mg.upf
Pd 106.42 Pd.upf
Pt 195.08 Pt.upf
ATOMIC_POSITIONS angstrom
Nd 0.0000 0.0000 0.0000
Nd 4.1246 0.0000 1.2756
Mg 1.6233 0.0000 7.4197
Mg 2.5177 0.0000 4.2555
Mg 5.7315 0.0000 4.2555
Mg 6.6259 0.0000 7.4197
Pd 0.0000 0.0000 2.9918
Pt 4.1246 0.0000 8.6702
CELL_PARAMETERS angstrom
8.2492 0.0000 0.0000
0.0000 2.1374 5.2130
0.0000 -2.1374 5.2130
! Spin magnetization in μB per formula unit: 0.01
! ρ in g/cm³: 6.208
! VASP energy in Ry per atom: -0.2925

=====

! NdYMg4Pd2 PBE relaxed; values from VASP
&SYSTEM
  ibrav = 0, nat = 8, ntyp = 4
/
ATOMIC_SPECIES
Nd 144.24 Nd.upf
Y 88.91 Y.upf
Mg 24.30 Mg.upf
Pd 106.42 Pd.upf
ATOMIC_POSITIONS angstrom
Nd 0.0000 0.0000 0.0000
Y 0.0000 0.0000 3.4521
Mg 2.1170 0.0000 10.5463
Mg 2.2032 0.0000 7.4760
Mg 5.0413 0.0000 7.4760
Mg 5.1275 0.0000 10.5463
Pd 0.0000 0.0000 6.1590
Pd 0.0000 0.0000 12.0996
CELL_PARAMETERS angstrom
7.2445 0.0000 0.0000
0.0000 2.5501 7.4799
0.0000 -2.5501 7.4799
! Spin magnetization in μB per formula unit: 0.03
! ρ in g/cm³: 3.264
! VASP energy in Ry per atom: -0.2402

=====

! PmNdMg PBE relaxed; values from VASP
&SYSTEM
  ibrav = 0, nat = 3, ntyp = 3
/
ATOMIC_SPECIES
Pm 145.00 Pm.upf
Nd 144.24 Nd.upf
Mg 24.30 Mg.upf
ATOMIC_POSITIONS angstrom
Pm 0.0000 0.0000 0.0000
Nd 3.7866 3.7866 3.7866
Mg 5.6798 5.6798 5.6798
CELL_PARAMETERS angstrom
0.0000 3.7866 3.7866
3.7866 0.0000 3.7866
3.7866 3.7866 0.0000
! Spin magnetization in μB per formula unit: 0.70
! ρ in g/cm³: 4.795
! Distance to the lowest polymorph of the same formula in meV/atom: 0
! VASP energy in Ry per atom: -0.2431

=====

! Pr2Nd2Mg PBE relaxed; values from VASP
&SYSTEM
  ibrav = 0, nat = 10, ntyp = 3
/
ATOMIC_SPECIES
Pr 140.91 Pr.upf
Nd 144.24 Nd.upf
Mg 24.30 Mg.upf
ATOMIC_POSITIONS angstrom
Pr 1.4551 3.0793 0.0000
Pr 3.0793 7.6138 0.0000
Pr 5.9895 1.4551 0.0000
Pr 7.6138 5.9895 0.0000
Nd 1.3092 5.8437 2.0598
Nd 3.2252 1.3092 2.0598
Nd 5.8437 7.7596 2.0598
Nd 7.7596 3.2252 2.0598
Mg 0.0000 0.0000 2.0598
Mg 4.5344 4.5344 2.0598
CELL_PARAMETERS angstrom
9.0689 0.0000 0.0000
0.0000 9.0689 0.0000
0.0000 0.0000 4.1196
! Spin magnetization in μB per formula unit: 0.00
! ρ in g/cm³: 5.828
! VASP energy in Ry per atom: -0.2920

=====

! PrNdMg PBE relaxed; values from VASP
&SYSTEM
  ibrav = 0, nat = 3, ntyp = 3
/
ATOMIC_SPECIES
Pr 140.91 Pr.upf
Nd 144.24 Nd.upf
Mg 24.30 Mg.upf
ATOMIC_POSITIONS angstrom
Pr 0.0000 0.0000 0.0000
Nd 3.8177 3.8177 3.8177
Mg 5.7266 5.7266 5.7266
CELL_PARAMETERS angstrom
0.0000 3.8177 3.8177
3.8177 0.0000 3.8177
3.8177 3.8177 0.0000
! Spin magnetization in μB per formula unit: 0.81
! ρ in g/cm³: 4.617
! Distance to the lowest polymorph of the same formula in meV/atom: 0
! VASP energy in Ry per atom: -0.2447

=====

! PrNdMg2 PBE relaxed; values from VASP
&SYSTEM
  ibrav = 0, nat = 4, ntyp = 3
/
ATOMIC_SPECIES
Pr 140.91 Pr.upf
Nd 144.24 Nd.upf
Mg 24.30 Mg.upf
ATOMIC_POSITIONS angstrom
Pr 0.0000 0.0000 0.0000
Nd 0.0000 2.7584 2.7385
Mg 1.9470 0.0000 2.7631
Mg 1.9470 2.7584 5.4921
CELL_PARAMETERS angstrom
3.8940 0.0000 0.0000
0.0000 5.5168 0.0000
0.0000 0.0000 5.5171
! Spin magnetization in μB per formula unit: 0.01
! ρ in g/cm³: 4.676
! VASP energy in Ry per atom: -0.2405

=====

! PrNd2Mg3Pt3 PBE relaxed; values from VASP
&SYSTEM
  ibrav = 0, nat = 9, ntyp = 4
/
ATOMIC_SPECIES
Pr 140.91 Pr.upf
Nd 144.24 Nd.upf
Mg 24.30 Mg.upf
Pt 195.08 Pt.upf
ATOMIC_POSITIONS angstrom
Pr 0.0000 0.0000 0.0000
Nd 0.0000 -2.6939 4.6731
Nd 0.0000 2.6939 4.6731
Mg 2.0706 -1.5773 2.2123
Mg 2.0706 1.5773 2.2123
Mg 2.0706 0.0000 4.9315
Pt 0.0000 0.0000 3.1278
Pt 2.0706 -4.3472 3.1139
Pt 2.0706 4.3472 3.1139
CELL_PARAMETERS angstrom
4.1412 0.0000 0.0000
0.0000 6.5408 3.7769
0.0000 -6.5408 3.7769
! Spin magnetization in μB per formula unit: 0.01
! ρ in g/cm³: 8.826
! VASP energy in Ry per atom: -0.3690

=====

! PrNdMg2Sn2 PBE relaxed; values from VASP
&SYSTEM
  ibrav = 0, nat = 6, ntyp = 4
/
ATOMIC_SPECIES
Pr 140.91 Pr.upf
Nd 144.24 Nd.upf
Mg 24.30 Mg.upf
Sn 118.71 Sn.upf
ATOMIC_POSITIONS angstrom
Pr 0.0000 0.0000 0.0000
Nd 0.0000 0.0000 5.3742
Mg 2.2584 0.0000 2.6880
Mg 0.0000 2.2584 2.6880
Sn 0.0000 0.0000 8.6463
Sn 0.0000 0.0000 12.9610
CELL_PARAMETERS angstrom
-2.2584 2.2584 8.1159
2.2584 -2.2584 8.1159
2.2584 2.2584 -8.1159
! Spin magnetization in μB per formula unit: 0.01
! ρ in g/cm³: 5.729
! VASP energy in Ry per atom: -0.2979

=====

! PrNd2Mg4Tl2 PBE relaxed; values from VASP
&SYSTEM
  ibrav = 0, nat = 9, ntyp = 4
/
ATOMIC_SPECIES
Pr 140.91 Pr.upf
Nd 144.24 Nd.upf
Mg 24.30 Mg.upf
Tl 204.38 Tl.upf
ATOMIC_POSITIONS angstrom
Pr 0.0000 0.0000 0.0000
Nd 0.0000 -2.8798 4.9654
Nd 0.0000 2.8798 4.9654
Mg 0.0000 0.0000 3.3223
Mg 2.3934 -1.6252 2.3766
Mg 2.3934 1.6252 2.3766
Mg 2.3934 0.0000 5.1851
Tl 2.3934 -4.4713 3.3075
Tl 2.3934 4.4713 3.3075
CELL_PARAMETERS angstrom
4.7868 0.0000 0.0000
0.0000 6.7209 3.8680
0.0000 -6.7209 3.8680
! Spin magnetization in μB per formula unit: 0.01
! ρ in g/cm³: 6.241
! VASP energy in Ry per atom: -0.2259

=====

! PrNd2Mg3Tl2Zn PBE relaxed; values from VASP
&SYSTEM
  ibrav = 0, nat = 9, ntyp = 5
/
ATOMIC_SPECIES
Pr 140.91 Pr.upf
Nd 144.24 Nd.upf
Mg 24.30 Mg.upf
Tl 204.38 Tl.upf
Zn 65.41 Zn.upf
ATOMIC_POSITIONS angstrom
Pr 0.0000 0.0000 0.0000
Nd 0.0000 -2.7094 4.6782
Nd 0.0000 2.7094 4.6782
Mg 2.3574 -1.5589 2.2263
Mg 2.3574 1.5589 2.2263
Mg 2.3574 0.0000 4.9170
Tl 2.3574 -4.4188 3.1179
Tl 2.3574 4.4188 3.1179
Zn 0.0000 0.0000 3.1343
CELL_PARAMETERS angstrom
4.7147 0.0000 0.0000
0.0000 6.6444 3.8236
0.0000 -6.6444 3.8236
! Spin magnetization in μB per formula unit: 0.03
! ρ in g/cm³: 6.769
! VASP energy in Ry per atom: -0.2288

=====

! Pr2NdMg3Tl2Zn PBE relaxed; values from VASP
&SYSTEM
  ibrav = 0, nat = 9, ntyp = 5
/
ATOMIC_SPECIES
Pr 140.91 Pr.upf
Nd 144.24 Nd.upf
Mg 24.30 Mg.upf
Tl 204.38 Tl.upf
Zn 65.41 Zn.upf
ATOMIC_POSITIONS angstrom
Pr 0.0000 -3.9288 3.8437
Pr 0.0000 3.9288 3.8437
Nd 0.0000 0.0000 4.7002
Mg 2.3629 -1.5559 2.4727
Mg 2.3629 1.5559 2.4727
Mg 2.3629 0.0000 7.4546
Tl 2.3629 -2.1997 5.4095
Tl 2.3629 2.1997 5.4095
Zn 0.0000 0.0000 1.5819
CELL_PARAMETERS angstrom
4.7258 0.0000 0.0000
0.0000 6.6328 3.8437
0.0000 -6.6328 3.8437
! Spin magnetization in μB per formula unit: 0.03
! ρ in g/cm³: 6.706
! VASP energy in Ry per atom: -0.2288

=====

! NdMgPt PBE relaxed; values from VASP
&SYSTEM
  ibrav = 0, nat = 9, ntyp = 3
/
ATOMIC_SPECIES
Nd 144.24 Nd.upf
Mg 24.30 Mg.upf
Pt 195.08 Pt.upf
ATOMIC_POSITIONS angstrom
Nd -2.0339 3.5228 0.0000
Nd 1.5743 2.7268 0.0000
Nd 4.0678 0.0000 0.0000
Mg 0.0000 0.0000 0.0000
Mg 0.0000 4.1664 2.1805
Mg 3.6082 2.0832 2.1805
Pt -0.9080 1.5727 2.1805
Pt 1.8160 0.0000 2.1805
Pt 2.7002 4.6769 2.1805
CELL_PARAMETERS angstrom
7.2164 0.0000 0.0000
-3.6082 6.2495 0.0000
0.0000 0.0000 4.3611
! Spin magnetization in μB per formula unit: 0.00
! ρ in g/cm³: 9.210
! VASP energy in Ry per atom: -0.3445

=====

! NdMgPt PBE relaxed; values from VASP
&SYSTEM
  ibrav = 0, nat = 9, ntyp = 3
/
ATOMIC_SPECIES
Nd 144.24 Nd.upf
Mg 24.30 Mg.upf
Pt 195.08 Pt.upf
ATOMIC_POSITIONS angstrom
Nd -2.1974 3.8060 0.0000
Nd 1.5418 2.6704 0.0000
Nd 4.3948 0.0000 0.0000
Mg -0.9000 1.5588 2.0870
Mg 1.7999 0.0000 2.0870
Mg 2.8392 4.9177 2.0870
Pt 0.0000 0.0000 0.0000
Pt 0.0000 4.3176 2.0870
Pt 3.7392 2.1588 2.0870
CELL_PARAMETERS angstrom
7.4783 0.0000 0.0000
-3.7392 6.4764 0.0000
0.0000 0.0000 4.1740
! Spin magnetization in μB per formula unit: 0.00
! ρ in g/cm³: 8.961
! VASP energy in Ry per atom: -0.3691

=====

! Nd3MgPt8 PBE relaxed; values from VASP
&SYSTEM
  ibrav = 0, nat = 12, ntyp = 3
/
ATOMIC_SPECIES
Nd 144.24 Nd.upf
Mg 24.30 Mg.upf
Pt 195.08 Pt.upf
ATOMIC_POSITIONS angstrom
Nd 0.0000 0.0000 0.0000
Nd 0.0000 0.0000 3.4190
Nd 0.0000 0.0000 13.6797
Mg 0.0000 0.0000 16.9955
Pt -1.3689 -0.7903 10.6980
Pt 0.0000 -1.5678 6.2598
Pt -1.3577 0.7839 6.2598
Pt 0.0000 0.0000 8.4676
Pt 1.3577 0.7839 6.2598
Pt 1.3689 -0.7903 10.6980
Pt 0.0000 1.5806 10.6980
Pt 0.0000 0.0000 21.8500
CELL_PARAMETERS angstrom
2.7304 1.5764 8.9149
-2.7304 1.5764 8.9149
0.0000 -3.1528 8.9149
! Spin magnetization in μB per formula unit: 0.01
! ρ in g/cm³: 14.553
! VASP energy in Ry per atom: -0.4656

=====

! NdMgPt PBE relaxed; values from VASP
&SYSTEM
  ibrav = 0, nat = 9, ntyp = 3
/
ATOMIC_SPECIES
Nd 144.24 Nd.upf
Mg 24.30 Mg.upf
Pt 195.08 Pt.upf
ATOMIC_POSITIONS angstrom
Nd -1.0655 1.8455 0.0000
Nd 2.1310 0.0000 0.0000
Nd 2.8631 4.9590 0.0000
Mg -2.3788 4.1202 2.0190
Mg 1.5498 2.6843 2.0190
Mg 4.7576 0.0000 2.0190
Pt 0.0000 0.0000 2.0190
Pt 0.0000 4.5363 0.0000
Pt 3.9286 2.2682 0.0000
CELL_PARAMETERS angstrom
7.8572 0.0000 0.0000
-3.9286 6.8045 0.0000
0.0000 0.0000 4.0379
! Spin magnetization in μB per formula unit: 0.00
! ρ in g/cm³: 8.391
! VASP energy in Ry per atom: -0.3514

=====

! Nd2TmMg3Pt3 PBE relaxed; values from VASP
&SYSTEM
  ibrav = 0, nat = 9, ntyp = 4
/
ATOMIC_SPECIES
Nd 144.24 Nd.upf
Tm 168.93 Tm.upf
Mg 24.30 Mg.upf
Pt 195.08 Pt.upf
ATOMIC_POSITIONS angstrom
Nd 0.0000 -3.7761 3.7347
Nd 0.0000 3.7761 3.7347
Tm 0.0000 0.0000 4.5730
Mg 2.0529 -1.5455 2.4584
Mg 2.0529 1.5455 2.4584
Mg 2.0529 0.0000 7.1810
Pt 0.0000 0.0000 1.6015
Pt 2.0529 -2.0561 5.2469
Pt 2.0529 2.0561 5.2469
CELL_PARAMETERS angstrom
4.1057 0.0000 0.0000
0.0000 6.4420 3.7347
0.0000 -6.4420 3.7347
! Spin magnetization in μB per formula unit: 0.01
! ρ in g/cm³: 9.377
! VASP energy in Ry per atom: -0.3686

=====

! NdTm2Mg3Pt3 PBE relaxed; values from VASP
&SYSTEM
  ibrav = 0, nat = 9, ntyp = 4
/
ATOMIC_SPECIES
Nd 144.24 Nd.upf
Tm 168.93 Tm.upf
Mg 24.30 Mg.upf
Pt 195.08 Pt.upf
ATOMIC_POSITIONS angstrom
Nd 0.0000 0.0000 0.0000
Tm 0.0000 -2.6069 4.5438
Tm 0.0000 2.6069 4.5438
Mg 2.0390 -1.5795 2.1540
Mg 2.0390 1.5795 2.1540
Mg 2.0390 0.0000 4.8269
Pt 0.0000 0.0000 3.0979
Pt 2.0390 -4.1934 3.0200
Pt 2.0390 4.1934 3.0200
CELL_PARAMETERS angstrom
4.0780 0.0000 0.0000
0.0000 6.3951 3.6764
0.0000 -6.3951 3.6764
! Spin magnetization in μB per formula unit: 0.00
! ρ in g/cm³: 9.875
! VASP energy in Ry per atom: -0.3680

=====

! Nd2YMg3Pt3 PBE relaxed; values from VASP
&SYSTEM
  ibrav = 0, nat = 9, ntyp = 4
/
ATOMIC_SPECIES
Nd 144.24 Nd.upf
Y 88.91 Y.upf
Mg 24.30 Mg.upf
Pt 195.08 Pt.upf
ATOMIC_POSITIONS angstrom
Nd 0.0000 -3.8101 3.7371
Nd 0.0000 3.8101 3.7371
Y 0.0000 0.0000 4.5900
Mg 2.0566 -1.5549 2.4569
Mg 2.0566 1.5549 2.4569
Mg 2.0566 0.0000 7.1821
Pt 0.0000 0.0000 1.5711
Pt 2.0566 -2.1190 5.2633
Pt 2.0566 2.1190 5.2633
CELL_PARAMETERS angstrom
4.1132 0.0000 0.0000
0.0000 6.4913 3.7371
0.0000 -6.4913 3.7371
! Spin magnetization in μB per formula unit: 0.00
! ρ in g/cm³: 8.617
! VASP energy in Ry per atom: -0.3844

=====

! NdPuMg PBE relaxed; values from VASP
&SYSTEM
  ibrav = 0, nat = 3, ntyp = 3
/
ATOMIC_SPECIES
Nd 144.24 Nd.upf
Pu 244.00 Pu.upf
Mg 24.30 Mg.upf
ATOMIC_POSITIONS angstrom
Nd 0.0000 0.0000 0.0000
Pu 3.7186 3.7186 3.7186
Mg 1.8593 1.8593 1.8593
CELL_PARAMETERS angstrom
0.0000 3.7186 3.7186
3.7186 0.0000 3.7186
3.7186 3.7186 0.0000
! Spin magnetization in μB per formula unit: 7.66
! ρ in g/cm³: 6.661
! Distance to the lowest polymorph of the same formula in meV/atom: 0
! VASP energy in Ry per atom: -0.4610

=====

! RbNdMgS3 PBE relaxed; values from VASP
&SYSTEM
  ibrav = 0, nat = 12, ntyp = 4
/
ATOMIC_SPECIES
Rb 85.47 Rb.upf
Nd 144.24 Nd.upf
Mg 24.30 Mg.upf
S 32.06 S.upf
ATOMIC_POSITIONS angstrom
Rb 2.1014 3.8493 8.3724
Rb 2.1014 -3.8493 2.7908
Nd 2.1014 0.0000 0.0000
Nd 2.1014 0.0000 5.5816
Mg 2.1014 6.9071 2.7908
Mg 2.1014 -6.9071 8.3724
S 2.1014 5.6675 0.7326
S 2.1014 5.6675 4.8490
S 2.1014 0.8318 2.7908
S 2.1014 -0.8318 8.3724
S 2.1014 -5.6675 6.3142
S 2.1014 -5.6675 10.4306
CELL_PARAMETERS angstrom
2.1014 -7.4428 0.0000
2.1014 7.4428 0.0000
0.0000 0.0000 11.1632
! Spin magnetization in μB per formula unit: 0.00
! ρ in g/cm³: 3.331
! VASP energy in Ry per atom: -0.3622

=====

! RbNdMgS3 PBE relaxed; values from VASP
&SYSTEM
  ibrav = 0, nat = 24, ntyp = 4
/
ATOMIC_SPECIES
Rb 85.47 Rb.upf
Nd 144.24 Nd.upf
Mg 24.30 Mg.upf
S 32.06 S.upf
ATOMIC_POSITIONS angstrom
Rb 2.5483 1.0514 0.1134
Rb 3.0358 3.1542 7.5389
Rb 8.1325 1.0514 7.3120
Rb 8.6200 3.1542 14.7375
Nd 0.0978 3.1542 3.8302
Nd 5.4863 1.0514 11.2556
Nd 5.6820 3.1542 3.5953
Nd 11.0705 1.0514 11.0208
Mg 2.6785 3.1542 11.6552
Mg 2.9057 1.0514 4.2297
Mg 8.2626 3.1542 10.6212
Mg 8.4898 1.0514 3.1958
S 0.5784 3.1542 12.8317
S 0.9014 1.0514 5.5528
S 2.7132 1.0514 10.2952
S 2.8710 3.1542 2.8697
S 4.6827 3.1542 12.9783
S 5.0057 1.0514 5.4062
S 6.1626 3.1542 9.4448
S 6.4856 1.0514 1.8727
S 8.2973 1.0514 11.9812
S 8.4551 3.1542 4.5557
S 10.2669 3.1542 9.2981
S 10.5899 1.0514 2.0193
CELL_PARAMETERS angstrom
11.1683 0.0000 0.0000
0.0000 4.2056 0.0000
0.0000 0.0000 14.8510
! Spin magnetization in μB per formula unit: 0.00
! ρ in g/cm³: 3.335
! VASP energy in Ry per atom: -0.3622